# Cs2SrTcO4

Crystalline Cs2SrTcO4 at its relaxed geometry (GGA-PBE, the Alexandria database).

Lattice parameters (Å, degrees): 6.2374 6.2374 6.2374 96.63 116.25 116.25
Site moments in Bohr magnetons follow the coordinates.
Fractional coordinates of all 8 atoms:
O (0.0947, 0.2800, 0.6488)  0.03
O (0.3688, 0.8147, 0.7200)  0.03
Cs (0.5000, 0.7500, 0.2500)  0.00
Tc (0.0000, 0.5000, 0.5000)  0.76
O (0.6312, 0.3512, 0.4459)  0.03
Sr (0.5000, 0.2500, 0.7500)  0.02
O (0.9053, 0.5541, 0.1853)  0.03
Cs (0.0000, 0.0000, 0.0000)  0.00

Computed properties:
space group	I-4 (82)
spin magnetization	0.127	μB/atom



# CsSrTeO2

Crystalline CsSrTeO2 at its relaxed geometry (GGA-PBE, the Alexandria database).

Lattice parameters (Å, degrees): 5.1007 6.5785 5.1007 90.00 90.00 90.00
Site moments in Bohr magnetons follow the coordinates.
Fractional coordinates of all 5 atoms:
Sr (0.0000, 0.0000, 0.0000)  -0.02
O (0.0000, 0.0000, 0.5000)  0.83
Cs (0.5000, 0.5000, 0.5000)  0.04
Te (0.0000, 0.5000, 0.0000)  0.49
O (0.5000, 0.0000, 0.0000)  0.78

Computed properties:
space group	P4/mmm (123)
spin magnetization	0.600	μB/atom



Across the entries above, E takes the values -0.2150; -0.1413 Ha/atom, respectively.
Across the entries above, calculated volume takes the values 180.0; 171.2 Å³ per cell, respectively.